# 1
First-principles (PBE) data for crystalline PmGa2SiNi2 at its relaxed geometry, as listed in Alexandria via LeMat-Bulk.

Output
Symmetry: P4/mmm
E_form (uncorrected), kJ per mole of atoms: -41.44
Energy, eV for the cell shown: -30.4
Size of the total moment, μB per formula unit: 0.00

Cell: 4.3013 4.3013 5.5686 Å, 90.00 90.00 90.00°
Fractional positions:
Pm  0.0000  0.0000  0.5000
Ga  0.5000  0.5000  0.7383
Ga  0.5000  0.5000  0.2617
Si  0.0000  0.0000  0.0000
Ni  0.5000  0.0000  0.0000
Ni  0.0000  0.5000  0.0000


# 2
First-principles (PBE) data for crystalline Pm2Ga3SiNi4 at its relaxed geometry, as listed in Alexandria via LeMat-Bulk.

Output
Symmetry: P-4m2
E_form (uncorrected), kJ per mole of atoms: -58.80
Energy, eV for the cell shown: -53.2
Size of the total moment, μB per formula unit: 0.00

Cell: 4.1195 4.1195 9.8030 Å, 90.00 90.00 90.00°
Fractional positions:
Pm  0.5000  0.0000  0.2533
Pm  0.0000  0.5000  0.7467
Ga  0.0000  0.0000  0.5000
Ga  0.5000  0.0000  0.8711
Ga  0.0000  0.5000  0.1289
Si  0.5000  0.5000  0.5000
Ni  0.5000  0.5000  0.0000
Ni  0.0000  0.0000  0.0000
Ni  0.5000  0.0000  0.6232
Ni  0.0000  0.5000  0.3768


# 3
First-principles (PBE) data for crystalline PmSmGaNi at its relaxed geometry, as listed in Alexandria via LeMat-Bulk.

Output
Symmetry: Amm2
ΔH_f (0 K), eV per formula unit: -1.73
Energy, eV for the cell shown: -20.0
Size of the total moment, μB per formula unit: 0.00

Cell: 3.8315 4.3880 5.9322 Å, 90.00 108.84 90.00°
Fractional positions:
Pm  0.1384  0.0000  0.2768
Sm  0.8580  0.5000  0.7160
Ga  0.5666  0.5000  0.1332
Ni  0.4370  0.0000  0.8740


# 4
First-principles (PBE) data for crystalline PmGa2Ni5Sn at its relaxed geometry, as listed in Alexandria via LeMat-Bulk.

Output
Symmetry: P4/mmm
ΔH_f (0 K), eV per formula unit: -0.79
Energy, eV for the cell shown: -44.5
Size of the total moment, μB per formula unit: 0.00

Cell: 4.4346 4.4346 7.3225 Å, 90.00 90.00 90.00°
Fractional positions:
Pm  0.0000  0.0000  0.5000
Ga  0.5000  0.5000  0.1684
Ga  0.5000  0.5000  0.8316
Ni  0.0000  0.5000  0.2652
Ni  0.5000  0.0000  0.2652
Ni  0.0000  0.5000  0.7348
Ni  0.5000  0.0000  0.7348
Ni  0.5000  0.5000  0.5000
Sn  0.0000  0.0000  0.0000


# 5
First-principles (PBE) data for crystalline Pm2Ga3Ni4Sn at its relaxed geometry, as listed in Alexandria via LeMat-Bulk.

Output
Symmetry: P-4m2
ΔH_f (0 K), eV per formula unit: -5.46
Energy, eV for the cell shown: -51.2
Size of the total moment, μB per formula unit: 0.00

Cell: 4.2357 4.2357 9.8926 Å, 90.00 90.00 90.00°
Fractional positions:
Pm  0.5000  0.0000  0.2382
Pm  0.0000  0.5000  0.7618
Ga  0.0000  0.0000  0.5000
Ga  0.5000  0.0000  0.8821
Ga  0.0000  0.5000  0.1179
Ni  0.5000  0.5000  0.0000
Ni  0.0000  0.0000  0.0000
Ni  0.5000  0.0000  0.6416
Ni  0.0000  0.5000  0.3584
Sn  0.5000  0.5000  0.5000


# 6
First-principles (PBE) data for crystalline Pm2GaNi4Sn3 at its relaxed geometry, as listed in Alexandria via LeMat-Bulk.

Output
Symmetry: P-4m2
ΔH_f (0 K), eV per formula unit: -5.41
Energy, eV for the cell shown: -53.1
Size of the total moment, μB per formula unit: 0.00

Cell: 4.3475 4.3475 10.2059 Å, 90.00 90.00 90.00°
Fractional positions:
Pm  0.5000  0.0000  0.2494
Pm  0.0000  0.5000  0.7506
Ga  0.5000  0.5000  0.5000
Ni  0.5000  0.5000  0.0000
Ni  0.0000  0.0000  0.0000
Ni  0.5000  0.0000  0.6248
Ni  0.0000  0.5000  0.3752
Sn  0.0000  0.0000  0.5000
Sn  0.5000  0.0000  0.8703
Sn  0.0000  0.5000  0.1297


# 7
First-principles (PBE) data for crystalline PmTmGaNi at its relaxed geometry, as listed in Alexandria via LeMat-Bulk.

Output
Symmetry: F-43m
ΔH_f (0 K), eV per formula unit: -1.65
Energy, eV for the cell shown: -19.7
Size of the total moment, μB per formula unit: 0.00

Cell: 4.9711 4.9711 4.9711 Å, 60.00 60.00 60.00°
Fractional positions:
Ni  0.2500  0.2500  0.2500
Tm  0.5000  0.5000  0.5000
Ga  0.7500  0.7500  0.7500
Pm  0.0000  0.0000  0.0000


# 8
First-principles (PBE) data for crystalline PmTmGa2Ni2 at its relaxed geometry, as listed in Alexandria via LeMat-Bulk.

Output
Symmetry: P-3m1
ΔH_f (0 K), eV per formula unit: -3.56
Energy, eV for the cell shown: -30.4
Size of the total moment, μB per formula unit: 0.00

Cell: 4.2891 4.2891 7.1478 Å, 90.00 90.00 120.00°
Fractional positions:
Pm  0.0000  0.0000  0.0000
Tm  0.0000  0.0000  0.5000
Ga  0.6667  0.3333  0.7290
Ga  0.3333  0.6667  0.2710
Ni  0.6667  0.3333  0.2782
Ni  0.3333  0.6667  0.7218


# 9
First-principles (PBE) data for crystalline PmYGaNi at its relaxed geometry, as listed in Alexandria via LeMat-Bulk.

Output
Symmetry: F-43m
ΔE to the lowest computed polymorph, eV per atom: 0.059
ΔH_f (0 K), eV per formula unit: -1.61
Energy, eV for the cell shown: -21.6
Size of the total moment, μB per formula unit: 0.00

Cell: 5.0154 5.0154 5.0154 Å, 60.00 60.00 60.00°
Fractional positions:
Y  0.7500  0.7500  0.7500
Ni  0.0000  0.0000  0.0000
Ga  0.5000  0.5000  0.5000
Pm  0.2500  0.2500  0.2500


# 10
First-principles (PBE) data for crystalline PmYGaNi at its relaxed geometry, as listed in Alexandria via LeMat-Bulk.

Output
Symmetry: Amm2
ΔE to the lowest computed polymorph, eV per atom: 0.000
ΔH_f (0 K), eV per formula unit: -1.84
Energy, eV for the cell shown: -21.9
Size of the total moment, μB per formula unit: 0.00

Cell: 3.8481 4.3982 5.7700 Å, 90.00 109.48 90.00°
Fractional positions:
Pm  0.1410  0.0000  0.2820
Y  0.8582  0.5000  0.7164
Ga  0.5665  0.5000  0.1330
Ni  0.4343  0.0000  0.8686


# 11
First-principles (PBE) data for crystalline PmZnGaNi2 at its relaxed geometry, as listed in Alexandria via LeMat-Bulk.

Output
Symmetry: Imm2
ΔH_f (0 K), eV per formula unit: -1.90
Energy, eV for the cell shown: -22.5
Size of the total moment, μB per formula unit: 0.00

Cell: 4.0468 3.7470 6.2040 Å, 107.58 109.03 90.00°
Fractional positions:
Pm  0.4568  0.4568  0.9136
Zn  0.1920  0.6920  0.3840
Ga  0.8297  0.8297  0.6594
Ni  0.6851  0.1851  0.3702
Ni  0.0485  0.0485  0.0971


# 12
First-principles (PBE) data for crystalline PmZnGa2Ni5 at its relaxed geometry, as listed in Alexandria via LeMat-Bulk.

Output
Symmetry: P4/mmm
ΔH_f (0 K), eV per formula unit: -0.12
Energy, eV for the cell shown: -41.1
Size of the total moment, μB per formula unit: 0.00

Cell: 4.4616 4.4616 6.9978 Å, 90.00 90.00 90.00°
Fractional positions:
Pm  0.0000  0.0000  0.5000
Zn  0.0000  0.0000  0.0000
Ga  0.5000  0.5000  0.1704
Ga  0.5000  0.5000  0.8296
Ni  0.0000  0.5000  0.2266
Ni  0.5000  0.0000  0.2266
Ni  0.0000  0.5000  0.7734
Ni  0.5000  0.0000  0.7734
Ni  0.5000  0.5000  0.5000


# 13
First-principles (PBE) data for crystalline Pm2Zn2GaNi5 at its relaxed geometry, as listed in Alexandria via LeMat-Bulk.

Output
Symmetry: P4/mbm
ΔH_f (0 K), eV per formula unit: -2.38
Energy, eV for the cell shown: -92.7
Size of the total moment, μB per formula unit: 0.00

Cell: 3.4841 9.5205 9.5205 Å, 90.00 90.00 90.00°
Fractional positions:
Pm  0.0000  0.6784  0.1784
Pm  0.0000  0.3216  0.8216
Pm  0.0000  0.1784  0.3216
Pm  0.0000  0.8216  0.6784
Zn  0.0000  0.1197  0.6197
Zn  0.0000  0.8803  0.3803
Zn  0.0000  0.6197  0.8803
Zn  0.0000  0.3803  0.1197
Ga  0.0000  0.0000  0.0000
Ga  0.0000  0.5000  0.5000
Ni  0.5000  0.1988  0.0544
Ni  0.5000  0.8012  0.9456
Ni  0.5000  0.0544  0.8012
Ni  0.5000  0.6988  0.4456
Ni  0.5000  0.9456  0.1988
Ni  0.5000  0.3012  0.5544
Ni  0.5000  0.5544  0.6988
Ni  0.5000  0.4456  0.3012
Ni  0.5000  0.5000  0.0000
Ni  0.5000  0.0000  0.5000


# 14
First-principles (PBE) data for crystalline Pm3ZnGa2Ni6 at its relaxed geometry, as listed in Alexandria via LeMat-Bulk.

Output
Symmetry: P-3m1
ΔH_f (0 K), eV per formula unit: -3.74
Energy, eV for the cell shown: -60.0
Size of the total moment, μB per formula unit: 0.00

Cell: 5.3690 5.3690 8.3093 Å, 90.00 90.00 120.00°
Fractional positions:
Pm  0.3333  0.6667  0.6234
Pm  0.6667  0.3333  0.3766
Pm  0.0000  0.0000  0.0000
Zn  0.0000  0.0000  0.5000
Ga  0.6667  0.3333  0.9734
Ga  0.3333  0.6667  0.0266
Ni  0.6439  0.8220  0.2764
Ni  0.1780  0.3561  0.2764
Ni  0.1780  0.8220  0.2764
Ni  0.8220  0.6439  0.7236
Ni  0.3561  0.1780  0.7236
Ni  0.8220  0.1780  0.7236


# 15
First-principles (PBE) data for crystalline Pm2ZnGa2Ni5 at its relaxed geometry, as listed in Alexandria via LeMat-Bulk.

Output
Symmetry: P4/mbm
ΔH_f (0 K), eV per formula unit: -2.57
Energy, eV for the cell shown: -96.6
Size of the total moment, μB per formula unit: 0.00

Cell: 3.2607 9.8970 9.8970 Å, 90.00 90.00 90.00°
Fractional positions:
Pm  0.0000  0.6754  0.1754
Pm  0.0000  0.3246  0.8246
Pm  0.0000  0.1754  0.3246
Pm  0.0000  0.8246  0.6754
Zn  0.0000  0.0000  0.0000
Zn  0.0000  0.5000  0.5000
Ga  0.0000  0.1246  0.6246
Ga  0.0000  0.8754  0.3754
Ga  0.0000  0.6246  0.8754
Ga  0.0000  0.3754  0.1246
Ni  0.5000  0.1975  0.0532
Ni  0.5000  0.8025  0.9468
Ni  0.5000  0.0532  0.8025
Ni  0.5000  0.6975  0.4468
Ni  0.5000  0.9468  0.1975
Ni  0.5000  0.3025  0.5532
Ni  0.5000  0.5532  0.6975
Ni  0.5000  0.4468  0.3025
Ni  0.5000  0.5000  0.0000
Ni  0.5000  0.0000  0.5000


# 16
First-principles (PBE) data for crystalline Pm2ZnGa4Ni3 at its relaxed geometry, as listed in Alexandria via LeMat-Bulk.

Output
Symmetry: P-4m2
ΔH_f (0 K), eV per formula unit: -5.44
Energy, eV for the cell shown: -45.7
Size of the total moment, μB per formula unit: 0.00

Cell: 4.1383 4.1383 10.2186 Å, 90.00 90.00 90.00°
Fractional positions:
Pm  0.5000  0.0000  0.2427
Pm  0.0000  0.5000  0.7573
Zn  0.5000  0.5000  0.5000
Ga  0.5000  0.5000  0.0000
Ga  0.0000  0.0000  0.0000
Ga  0.5000  0.0000  0.6383
Ga  0.0000  0.5000  0.3617
Ni  0.0000  0.0000  0.5000
Ni  0.5000  0.0000  0.8717
Ni  0.0000  0.5000  0.1283


# 17
First-principles (PBE) data for crystalline PmZrGaNi at its relaxed geometry, as listed in Alexandria via LeMat-Bulk.

Output
Symmetry: F-43m
ΔH_f (0 K), eV per formula unit: -1.03
Energy, eV for the cell shown: -23.1
Size of the total moment, μB per formula unit: 0.95

Cell: 4.8692 4.8692 4.8692 Å, 60.00 60.00 60.00°
Fractional positions:
Ni  0.2500  0.2500  0.2500
Ga  0.7500  0.7500  0.7500
Zr  0.0000  0.0000  0.0000
Pm  0.5000  0.5000  0.5000


# 18
First-principles (PBE) data for crystalline Pr2GaNi at its relaxed geometry, as listed in Alexandria via LeMat-Bulk.

Output
Symmetry: P2_1/m
ΔH_f (0 K), eV per formula unit: -1.59
Energy, eV for the cell shown: -39.9
Size of the total moment, μB per formula unit: 0.00

Cell: 4.4836 6.1367 8.0117 Å, 116.18 90.00 90.00°
Fractional positions:
Pr  0.7500  0.2363  0.4173
Pr  0.2500  0.7637  0.5827
Pr  0.2500  0.7923  0.0717
Pr  0.7500  0.2077  0.9283
Ga  0.7500  0.6619  0.2929
Ga  0.2500  0.3381  0.7071
Ni  0.2500  0.4098  0.2158
Ni  0.7500  0.5902  0.7842


# 19
First-principles (PBE) data for crystalline PrGa4Ni2 at its relaxed geometry, as listed in Alexandria via LeMat-Bulk.

Output
Symmetry: P4_2/mnm
ΔE to the lowest computed polymorph, eV per atom: 0.117
ΔH_f (0 K), eV per formula unit: -2.93
Energy, eV for the cell shown: -62.8
Size of the total moment, μB per formula unit: 0.00

Cell: 4.0031 7.6942 7.6942 Å, 90.00 90.00 90.00°
Fractional positions:
Pr  0.5000  0.0000  0.0000
Pr  0.0000  0.5000  0.5000
Ga  0.0000  0.0804  0.3266
Ga  0.0000  0.9196  0.6734
Ga  0.5000  0.1734  0.5804
Ga  0.5000  0.8266  0.4196
Ga  0.5000  0.4196  0.8266
Ga  0.5000  0.5804  0.1734
Ga  0.0000  0.3266  0.0804
Ga  0.0000  0.6734  0.9196
Ni  0.0000  0.2196  0.7804
Ni  0.0000  0.7804  0.2196
Ni  0.5000  0.7196  0.7196
Ni  0.5000  0.2804  0.2804


# 20
First-principles (PBE) data for crystalline Pr2Ga4Ni3 at its relaxed geometry, as listed in Alexandria via LeMat-Bulk.

Output
Symmetry: Fmmm
ΔH_f (0 K), eV per formula unit: -3.98
Energy, eV for the cell shown: -43.0
Size of the total moment, μB per formula unit: 0.00

Cell: 5.5261 5.5261 6.8830 Å, 100.42 100.42 123.32°
Fractional positions:
Pr  0.6306  0.6306  0.2612
Pr  0.3694  0.3694  0.7388
Ga  0.0224  0.6693  0.6917
Ga  0.6693  0.0224  0.6917
Ga  0.9776  0.3307  0.3083
Ga  0.3307  0.9776  0.3083
Ni  0.5000  0.0000  0.0000
Ni  0.0000  0.0000  0.0000
Ni  0.0000  0.5000  0.0000


# 21
First-principles (PBE) data for crystalline Pr8Ga2Ni at its relaxed geometry, as listed in Alexandria via LeMat-Bulk.

Output
Symmetry: C2/m
ΔE to the lowest computed polymorph, eV per atom: 0.000
ΔH_f (0 K), eV per formula unit: -2.54
Energy, eV for the cell shown: -52.6
Size of the total moment, μB per formula unit: 0.00

Cell: 5.0531 6.9515 9.8009 Å, 102.29 104.94 90.00°
Fractional positions:
Pr  0.4073  0.5364  0.8146
Pr  0.6522  0.9791  0.3045
Pr  0.7901  0.6898  0.5803
Pr  0.9814  0.2182  0.9627
Pr  0.2099  0.3102  0.4197
Pr  0.3478  0.0209  0.6955
Pr  0.5927  0.4636  0.1854
Pr  0.0186  0.7818  0.0373
Ga  0.8150  0.2535  0.6300
Ga  0.1850  0.7465  0.3700
Ni  0.5000  0.0000  0.0000


# 22
First-principles (PBE) data for crystalline Pr12GaNi5 at its relaxed geometry, as listed in Alexandria via LeMat-Bulk.

Output
Symmetry: Immm
ΔH_f (0 K), eV per formula unit: -3.98
Energy, eV for the cell shown: -93.3
Size of the total moment, μB per formula unit: 0.00

Cell: 8.6505 8.6505 8.6505 Å, 106.68 112.46 109.32°
Fractional positions:
Pr  0.5206  0.8196  0.7010
Pr  0.4794  0.1804  0.2990
Pr  0.8815  0.1804  0.7010
Pr  0.1185  0.8196  0.2990
Pr  0.6951  0.6746  0.3697
Pr  0.3049  0.3254  0.6303
Pr  0.3049  0.6746  0.9794
Pr  0.6951  0.3254  0.0206
Pr  0.8124  0.6017  0.7893
Pr  0.1876  0.3983  0.2107
Pr  0.1876  0.9769  0.7893
Pr  0.8124  0.0231  0.2107
Ga  0.0000  0.5000  0.5000
Ni  0.6332  0.6332  0.0000
Ni  0.3668  0.3668  0.0000
Ni  0.5000  0.1238  0.6238
Ni  0.5000  0.8762  0.3762
Ni  0.0000  0.0000  0.0000


# 23
First-principles (PBE) data for crystalline Pr4GaNi2 at its relaxed geometry, as listed in Alexandria via LeMat-Bulk.

Output
Symmetry: R-3m
ΔH_f (0 K), eV per formula unit: -1.60
Energy, eV for the cell shown: -35.3
Size of the total moment, μB per formula unit: 0.00

Cell: 4.9662 4.9662 9.1371 Å, 74.23 74.23 60.00°
Fractional positions:
Pr  0.3809  0.3809  0.8573
Pr  0.2068  0.2068  0.3797
Pr  0.7932  0.7932  0.6203
Pr  0.6191  0.6191  0.1427
Ga  0.0000  0.0000  0.0000
Ni  0.0946  0.0946  0.7162
Ni  0.9054  0.9054  0.2838